Here is a geometry-optimized TeAu2F structure from Alexandria via LeMat-Bulk. Energies are from PBE-GGA.

CIF file:
```
data_TeAu2F
_chemical_formula_sum 'Te4 Au8 F4'
_cell_length_a 6.6706
_cell_length_b 6.6706
_cell_length_c 6.6706
_cell_angle_alpha 90.00
_cell_angle_beta 90.00
_cell_angle_gamma 90.00
_symmetry_space_group_name_H-M 'F m -3 m'
_symmetry_Int_Tables_number 225
_symmetry_space_group_name_Hall '-F 4 2 3'
loop_
_atom_site_label
_atom_site_fract_x
_atom_site_fract_y
_atom_site_fract_z
Te1 0.0000 0.0000 0.0000
Au1 0.2500 0.2500 0.2500
F1 0.0000 0.0000 0.5000
```

The size of the total moment is 0.00 μB per formula unit.



Here is a geometry-optimized Te2AuF structure from Alexandria via LeMat-Bulk. Energies are from PBE-GGA.

CIF file:
```
data_Te2AuF
_chemical_formula_sum 'Te6 Au3 F3'
_cell_length_a 3.3282
_cell_length_b 3.3282
_cell_length_c 27.7521
_cell_angle_alpha 90.00
_cell_angle_beta 90.00
_cell_angle_gamma 120.00
_symmetry_space_group_name_H-M 'R -3 m'
_symmetry_Int_Tables_number 166
_symmetry_space_group_name_Hall '-R 3 2"'
loop_
_atom_site_label
_atom_site_fract_x
_atom_site_fract_y
_atom_site_fract_z
Te1 0.0000 0.0000 0.0830
Au1 0.0000 0.0000 0.5000
F1 0.0000 0.0000 0.0000
```

The size of the total moment is 0.00 μB per formula unit.



Here is a geometry-optimized Te2AuF structure from Alexandria via LeMat-Bulk. Energies are from PBE-GGA.

CIF file:
```
data_Te2AuF
_chemical_formula_sum 'Te8 Au4 F4'
_cell_length_a 4.5140
_cell_length_b 4.5140
_cell_length_c 18.1995
_cell_angle_alpha 90.00
_cell_angle_beta 90.00
_cell_angle_gamma 90.00
_symmetry_space_group_name_H-M 'I -4 2 d'
_symmetry_Int_Tables_number 122
_symmetry_space_group_name_Hall 'I -4 2bw'
loop_
_atom_site_label
_atom_site_fract_x
_atom_site_fract_y
_atom_site_fract_z
Te1 0.2458 0.2500 0.1250
Au1 0.0000 0.0000 0.5000
F1 0.0000 0.0000 0.0000
```

The size of the total moment is 0.00 μB per formula unit.



Here is a geometry-optimized Te4AuF structure from Alexandria via LeMat-Bulk. Energies are from PBE-GGA.

CIF file:
```
data_Te4AuF
_chemical_formula_sum 'Te16 Au4 F4'
_cell_length_a 18.5237
_cell_length_b 7.1472
_cell_length_c 5.3165
_cell_angle_alpha 90.00
_cell_angle_beta 98.14
_cell_angle_gamma 90.00
_symmetry_space_group_name_H-M 'C 1 2/m 1'
_symmetry_Int_Tables_number 12
loop_
_symmetry_equiv_pos_as_xyz
'x,y,z'
'-x,-y,-z'
'-x,y,-z'
'x,-y,z'
'x+1/2,y+1/2,z'
'-x+1/2,-y+1/2,-z'
'-x+1/2,y+1/2,-z'
'x+1/2,-y+1/2,z'
loop_
_atom_site_label
_atom_site_fract_x
_atom_site_fract_y
_atom_site_fract_z
Te1 0.0000 0.2440 0.0000
Te2 0.1305 0.2496 0.4340
Te3 0.2194 0.5000 0.1780
Au1 0.0657 0.5000 0.7183
F1 0.1948 0.0000 0.0767
```

The size of the total moment is 0.00 μB per formula unit.



Here is a geometry-optimized TeAu2F structure from Alexandria via LeMat-Bulk. Energies are from PBE-GGA.

CIF file:
```
data_TeAu2F
_chemical_formula_sum 'Te4 Au8 F4'
_cell_length_a 4.9278
_cell_length_b 4.9278
_cell_length_c 14.9653
_cell_angle_alpha 90.00
_cell_angle_beta 90.00
_cell_angle_gamma 90.00
_symmetry_space_group_name_H-M 'I -4 2 d'
_symmetry_Int_Tables_number 122
_symmetry_space_group_name_Hall 'I -4 2bw'
loop_
_atom_site_label
_atom_site_fract_x
_atom_site_fract_y
_atom_site_fract_z
Te1 0.0000 0.0000 0.0000
Au1 0.1976 0.2500 0.6250
F1 0.0000 0.0000 0.5000
```

The size of the total moment is 0.00 μB per formula unit.



Here is a geometry-optimized YTeAuF2 structure from Alexandria via LeMat-Bulk. Energies are from PBE-GGA.

CIF file:
```
data_YTeAuF2
_chemical_formula_sum 'Y1 Te1 Au1 F2'
_cell_length_a 4.2794
_cell_length_b 4.2794
_cell_length_c 6.3398
_cell_angle_alpha 90.00
_cell_angle_beta 90.00
_cell_angle_gamma 90.00
_symmetry_space_group_name_H-M 'P 4/m m m'
_symmetry_Int_Tables_number 123
_symmetry_space_group_name_Hall '-P 4 2'
loop_
_atom_site_label
_atom_site_fract_x
_atom_site_fract_y
_atom_site_fract_z
Y1 0.0000 0.0000 0.0000
Te1 0.0000 0.0000 0.5000
Au1 0.5000 0.5000 0.5000
F1 0.0000 0.5000 0.0000
```

The size of the total moment is 0.00 μB per formula unit.



Here is a geometry-optimized Ti3AuF structure from Alexandria via LeMat-Bulk. Energies are from PBE-GGA.

CIF file:
```
data_Ti3AuF
_chemical_formula_sum 'Ti3 Au1 F1'
_cell_length_a 4.2093
_cell_length_b 4.2093
_cell_length_c 4.2093
_cell_angle_alpha 90.00
_cell_angle_beta 90.00
_cell_angle_gamma 90.00
_symmetry_space_group_name_H-M 'P m -3 m'
_symmetry_Int_Tables_number 221
_symmetry_space_group_name_Hall '-P 4 2 3'
loop_
_atom_site_label
_atom_site_fract_x
_atom_site_fract_y
_atom_site_fract_z
Ti1 0.0000 0.0000 0.5000
Au1 0.5000 0.5000 0.5000
F1 0.0000 0.0000 0.0000
```

The size of the total moment is 2.18 μB per formula unit.



Here is a geometry-optimized TiAu2F structure from Alexandria via LeMat-Bulk. Energies are from PBE-GGA.

CIF file:
```
data_TiAu2F
_chemical_formula_sum 'Ti4 Au8 F4'
_cell_length_a 6.3718
_cell_length_b 6.3718
_cell_length_c 6.3718
_cell_angle_alpha 90.00
_cell_angle_beta 90.00
_cell_angle_gamma 90.00
_symmetry_space_group_name_H-M 'F m -3 m'
_symmetry_Int_Tables_number 225
_symmetry_space_group_name_Hall '-F 4 2 3'
loop_
_atom_site_label
_atom_site_fract_x
_atom_site_fract_y
_atom_site_fract_z
Ti1 0.0000 0.0000 0.0000
Au1 0.2500 0.2500 0.2500
F1 0.0000 0.0000 0.5000
```

The size of the total moment is 0.00 μB per formula unit.



Here is a geometry-optimized TiAuF6 structure from Alexandria via LeMat-Bulk. Energies are from PBE-GGA.

CIF file:
```
data_TiAuF6
_chemical_formula_sum 'Ti2 Au2 F12'
_cell_length_a 8.4815
_cell_length_b 5.7875
_cell_length_c 5.2408
_cell_angle_alpha 90.00
_cell_angle_beta 112.02
_cell_angle_gamma 90.00
_symmetry_space_group_name_H-M 'C 1 2/m 1'
_symmetry_Int_Tables_number 12
loop_
_symmetry_equiv_pos_as_xyz
'x,y,z'
'-x,-y,-z'
'-x,y,-z'
'x,-y,z'
'x+1/2,y+1/2,z'
'-x+1/2,-y+1/2,-z'
'-x+1/2,y+1/2,-z'
'x+1/2,-y+1/2,z'
loop_
_atom_site_label
_atom_site_fract_x
_atom_site_fract_y
_atom_site_fract_z
Ti1 0.0000 0.0000 0.0000
Au1 0.0000 0.5000 0.5000
F1 0.0736 0.2348 0.2834
F2 0.2142 0.0000 0.9946
```

The size of the total moment is 1.00 μB per formula unit.



Here is a geometry-optimized TiAuF structure from Alexandria via LeMat-Bulk. Energies are from PBE-GGA.

CIF file:
```
data_TiAuF
_chemical_formula_sum 'Ti4 Au4 F4'
_cell_length_a 14.4264
_cell_length_b 2.8831
_cell_length_c 4.9940
_cell_angle_alpha 90.00
_cell_angle_beta 90.00
_cell_angle_gamma 90.00
_symmetry_space_group_name_H-M 'A m m 2'
_symmetry_Int_Tables_number 38
loop_
_symmetry_equiv_pos_as_xyz
'x,y,z'
'-x,-y,z'
'-x,y,z'
'x,-y,z'
'x,y+1/2,z+1/2'
'-x,-y+1/2,z+1/2'
'-x,y+1/2,z+1/2'
'x,-y+1/2,z+1/2'
loop_
_atom_site_label
_atom_site_fract_x
_atom_site_fract_y
_atom_site_fract_z
Ti1 0.1597 0.0000 0.0000
Au1 0.0000 0.0000 0.3332
Au2 0.5000 0.0000 0.0570
F1 0.2493 0.0000 0.3333
```

The size of the total moment is 0.49 μB per formula unit.



Here is a geometry-optimized TiAu3F structure from Alexandria via LeMat-Bulk. Energies are from PBE-GGA.

CIF file:
```
data_TiAu3F
_chemical_formula_sum 'Ti1 Au3 F1'
_cell_length_a 4.9993
_cell_length_b 4.9993
_cell_length_c 4.9993
_cell_angle_alpha 90.00
_cell_angle_beta 90.00
_cell_angle_gamma 90.00
_symmetry_space_group_name_H-M 'P m -3 m'
_symmetry_Int_Tables_number 221
_symmetry_space_group_name_Hall '-P 4 2 3'
loop_
_atom_site_label
_atom_site_fract_x
_atom_site_fract_y
_atom_site_fract_z
Ti1 0.0000 0.0000 0.0000
Au1 0.0000 0.0000 0.5000
F1 0.5000 0.5000 0.5000
```

The size of the total moment is 0.00 μB per formula unit.



Here is a geometry-optimized TiAu3F structure from Alexandria via LeMat-Bulk. Energies are from PBE-GGA.

CIF file:
```
data_TiAu3F
_chemical_formula_sum 'Ti1 Au3 F1'
_cell_length_a 4.5614
_cell_length_b 4.5614
_cell_length_c 4.5614
_cell_angle_alpha 90.00
_cell_angle_beta 90.00
_cell_angle_gamma 90.00
_symmetry_space_group_name_H-M 'P m -3 m'
_symmetry_Int_Tables_number 221
_symmetry_space_group_name_Hall '-P 4 2 3'
loop_
_atom_site_label
_atom_site_fract_x
_atom_site_fract_y
_atom_site_fract_z
Ti1 0.0000 0.0000 0.0000
Au1 0.0000 0.5000 0.5000
F1 0.5000 0.5000 0.5000
```

The size of the total moment is 0.02 μB per formula unit.



Here is a geometry-optimized TiAu2F structure from Alexandria via LeMat-Bulk. Energies are from PBE-GGA.

CIF file:
```
data_TiAu2F
_chemical_formula_sum 'Ti4 Au8 F4'
_cell_length_a 7.3332
_cell_length_b 7.3332
_cell_length_c 5.1806
_cell_angle_alpha 90.00
_cell_angle_beta 90.00
_cell_angle_gamma 90.00
_symmetry_space_group_name_H-M 'I -4 2 d'
_symmetry_Int_Tables_number 122
_symmetry_space_group_name_Hall 'I -4 2bw'
loop_
_atom_site_label
_atom_site_fract_x
_atom_site_fract_y
_atom_site_fract_z
Ti1 0.0000 0.0000 0.0000
Au1 0.2460 0.2500 0.6250
F1 0.0000 0.0000 0.5000
```

The size of the total moment is 0.94 μB per formula unit.



Here is a geometry-optimized Ti3AuF structure from Alexandria via LeMat-Bulk. Energies are from PBE-GGA.

CIF file:
```
data_Ti3AuF
_chemical_formula_sum 'Ti3 Au1 F1'
_cell_length_a 5.0017
_cell_length_b 5.0017
_cell_length_c 5.0017
_cell_angle_alpha 90.00
_cell_angle_beta 90.00
_cell_angle_gamma 90.00
_symmetry_space_group_name_H-M 'P m -3 m'
_symmetry_Int_Tables_number 221
_symmetry_space_group_name_Hall '-P 4 2 3'
loop_
_atom_site_label
_atom_site_fract_x
_atom_site_fract_y
_atom_site_fract_z
Ti1 0.0000 0.0000 0.5000
Au1 0.0000 0.0000 0.0000
F1 0.5000 0.5000 0.5000
```

The size of the total moment is 4.21 μB per formula unit.



Asked for energy relative to the elements, uncorrected across the records above, the calculation gives -0.195 -0.310 -0.274 -0.335 -0.203 -2.308 -0.707 -0.437 -2.374 -1.393 0.600 0.522 -0.515 0.551 eV per atom in order.